Entry 1:
Computed, not measured: LiGa4Rh2 after structural relaxation at the PBE level of DFT.

Structure (CIF):
```
data_LiGa4Rh2
_symmetry_space_group_name_H-M 'P 1 21/m 1'
_symmetry_Int_Tables_number 11
_symmetry_space_group_name_Hall '-P 2yb'
_cell_length_a 6.7834
_cell_length_b 5.2180
_cell_length_c 6.7983
_cell_angle_alpha 90.00
_cell_angle_beta 112.06
_cell_angle_gamma 90.00
loop_
_atom_site_label
_atom_site_type_symbol
_atom_site_fract_x
_atom_site_fract_y
_atom_site_fract_z
_atom_site_occupancy
Li1 Li 0.2176 0.2500 0.2819 1
Ga1 Ga 0.0649 0.2500 0.5717 1
Ga2 Ga 0.2770 0.5039 0.9459 1
Ga3 Ga 0.3483 0.7500 0.5348 1
Rh1 Rh 0.0613 0.7500 0.1195 1
Rh2 Rh 0.4625 0.2500 0.7279 1
```

Values from the calculation:
N(E_F)   5.800 states/eV per cell
ΔH_f (0 K)   -379 meV/atom

***

Entry 2:
Computed, not measured: LiGa4Rh2 after structural relaxation at the PBE level of DFT.

Structure (CIF):
```
data_LiGa4Rh2
_symmetry_space_group_name_H-M 'P 1'
_symmetry_Int_Tables_number 1
_symmetry_space_group_name_Hall 'P 1'
_cell_length_a 5.3907
_cell_length_b 6.5927
_cell_length_c 6.9432
_cell_angle_alpha 114.37
_cell_angle_beta 104.55
_cell_angle_gamma 98.06
loop_
_atom_site_label
_atom_site_type_symbol
_atom_site_fract_x
_atom_site_fract_y
_atom_site_fract_z
_atom_site_occupancy
Li1 Li 0.0000 0.0000 0.0000 1
Li2 Li 0.2199 0.7489 0.6087 1
Ga1 Ga 0.0665 0.5857 0.8453 1
Ga2 Ga 0.3310 0.8102 0.3024 1
Ga3 Ga 0.3911 0.3766 0.1135 1
Ga4 Ga 0.4084 0.2618 0.4316 1
Ga5 Ga 0.5814 0.6010 0.8583 1
Ga6 Ga 0.6523 0.0822 0.7535 1
Ga7 Ga 0.8374 0.8661 0.3262 1
Ga8 Ga 0.9104 0.3081 0.3953 1
Rh1 Rh 0.1942 0.1989 0.6913 1
Rh2 Rh 0.5056 0.9944 0.0744 1
Rh3 Rh 0.7022 0.6584 0.5350 1
Rh4 Rh 0.9049 0.4606 0.1138 1
```

Values from the calculation:
N(E_F)   4.742 states/eV per cell
ΔH_f (0 K)   -467 meV/atom

***

Entry 3:
Computed, not measured: Li3Ga3Rh after structural relaxation at the PBE level of DFT.

Structure (CIF):
```
data_Li3Ga3Rh
_symmetry_space_group_name_H-M 'P 63/m'
_symmetry_Int_Tables_number 176
_symmetry_space_group_name_Hall '-P 6c'
_cell_length_a 7.4184
_cell_length_b 7.4184
_cell_length_c 4.3215
_cell_angle_alpha 90.00
_cell_angle_beta 90.00
_cell_angle_gamma 120.00
loop_
_atom_site_label
_atom_site_type_symbol
_atom_site_fract_x
_atom_site_fract_y
_atom_site_fract_z
_atom_site_occupancy
Li1 Li 0.0564 0.2501 0.2500 1
Ga1 Ga 0.0931 0.4697 0.7500 1
Rh1 Rh 0.3333 0.6667 0.2500 1
```

Values from the calculation:
N(E_F)   4.045 states/eV per cell
ΔH_f (0 K)   -345 meV/atom

***

Entry 4:
Computed, not measured: LiGa5Rh3 after structural relaxation at the PBE level of DFT.

Structure (CIF):
```
data_LiGa5Rh3
_symmetry_space_group_name_H-M 'P 63/m c m'
_symmetry_Int_Tables_number 193
_symmetry_space_group_name_Hall '-P 6c 2'
_cell_length_a 7.5693
_cell_length_b 7.5693
_cell_length_c 5.2419
_cell_angle_alpha 90.00
_cell_angle_beta 90.00
_cell_angle_gamma 120.00
loop_
_atom_site_label
_atom_site_type_symbol
_atom_site_fract_x
_atom_site_fract_y
_atom_site_fract_z
_atom_site_occupancy
Li1 Li 0.0000 0.0000 0.0000 1
Ga1 Ga 0.0000 0.2906 0.2500 1
Ga2 Ga 0.3333 0.6667 0.0000 1
Rh1 Rh 0.0000 0.3738 0.7500 1
```

Values from the calculation:
N(E_F)   5.556 states/eV per cell
ΔH_f (0 K)   -466 meV/atom

***

Entry 5:
Computed, not measured: LiGaRh after structural relaxation at the PBE level of DFT.

Structure (CIF):
```
data_LiGaRh
_symmetry_space_group_name_H-M 'P 3 m 1'
_symmetry_Int_Tables_number 156
_symmetry_space_group_name_Hall 'P 3 -2"'
_cell_length_a 4.0774
_cell_length_b 4.0774
_cell_length_c 2.7969
_cell_angle_alpha 90.00
_cell_angle_beta 90.00
_cell_angle_gamma 120.00
loop_
_atom_site_label
_atom_site_type_symbol
_atom_site_fract_x
_atom_site_fract_y
_atom_site_fract_z
_atom_site_occupancy
Li1 Li 0.0000 0.0000 0.0000 1
Ga1 Ga 0.3333 0.6667 0.7692 1
Rh1 Rh 0.6667 0.3333 0.3781 1
```

Values from the calculation:
N(E_F)   0.738 states/eV per cell
ΔH_f (0 K)   -485 meV/atom

***

Entry 6:
Computed, not measured: LiGa3Rh after structural relaxation at the PBE level of DFT.

Structure (CIF):
```
data_LiGa3Rh
_symmetry_space_group_name_H-M 'P n m a'
_symmetry_Int_Tables_number 62
_symmetry_space_group_name_Hall '-P 2ac 2n'
_cell_length_a 4.6155
_cell_length_b 9.5884
_cell_length_c 7.3713
_cell_angle_alpha 90.00
_cell_angle_beta 90.00
_cell_angle_gamma 90.00
loop_
_atom_site_label
_atom_site_type_symbol
_atom_site_fract_x
_atom_site_fract_y
_atom_site_fract_z
_atom_site_occupancy
Li1 Li 0.0639 0.2500 0.1556 1
Ga1 Ga 0.0093 0.0739 0.8496 1
Ga2 Ga 0.0480 0.2500 0.5549 1
Rh1 Rh 0.0000 0.0000 0.5000 1
```

Values from the calculation:
N(E_F)   5.340 states/eV per cell
ΔH_f (0 K)   -357 meV/atom

***

Entry 7:
Computed, not measured: Li2Ga2Rh after structural relaxation at the PBE level of DFT.

Structure (CIF):
```
data_Li2Ga2Rh
_symmetry_space_group_name_H-M 'C 1 2/m 1'
_symmetry_Int_Tables_number 12
_symmetry_space_group_name_Hall '-C 2y'
_cell_length_a 7.2998
_cell_length_b 4.2262
_cell_length_c 5.2000
_cell_angle_alpha 90.00
_cell_angle_beta 117.64
_cell_angle_gamma 90.00
loop_
_atom_site_label
_atom_site_type_symbol
_atom_site_fract_x
_atom_site_fract_y
_atom_site_fract_z
_atom_site_occupancy
Li1 Li 0.1989 0.0000 0.0972 1
Ga1 Ga 0.1053 0.5000 0.3158 1
Rh1 Rh 0.0000 0.0000 0.5000 1
```

Values from the calculation:
N(E_F)   3.526 states/eV per cell
ΔH_f (0 K)   -530 meV/atom

***

Entry 8:
Computed, not measured: Li4GaRh2 after structural relaxation at the PBE level of DFT.

Structure (CIF):
```
data_Li4GaRh2
_symmetry_space_group_name_H-M 'F m m 2'
_symmetry_Int_Tables_number 42
_symmetry_space_group_name_Hall 'F 2 -2'
_cell_length_a 5.3617
_cell_length_b 8.5940
_cell_length_c 9.1315
_cell_angle_alpha 90.00
_cell_angle_beta 90.00
_cell_angle_gamma 90.00
loop_
_atom_site_label
_atom_site_type_symbol
_atom_site_fract_x
_atom_site_fract_y
_atom_site_fract_z
_atom_site_occupancy
Li1 Li 0.0000 0.0000 0.0000 1
Li2 Li 0.0000 0.0000 0.2646 1
Li3 Li 0.0000 0.2056 0.4645 1
Ga1 Ga 0.0000 0.0000 0.7018 1
Rh1 Rh 0.2500 0.2500 0.2119 1
```

Values from the calculation:
N(E_F)   17.649 states/eV per cell
ΔH_f (0 K)   -261 meV/atom

***

Entry 9:
Computed, not measured: Li2GaRh after structural relaxation at the PBE level of DFT.

Structure (CIF):
```
data_Li2GaRh
_symmetry_space_group_name_H-M 'I -4 2 d'
_symmetry_Int_Tables_number 122
_symmetry_space_group_name_Hall 'I -4 2bw'
_cell_length_a 3.5721
_cell_length_b 3.5721
_cell_length_c 18.8189
_cell_angle_alpha 90.00
_cell_angle_beta 90.00
_cell_angle_gamma 90.00
loop_
_atom_site_label
_atom_site_type_symbol
_atom_site_fract_x
_atom_site_fract_y
_atom_site_fract_z
_atom_site_occupancy
Li1 Li 0.2393 0.2500 0.1250 1
Ga1 Ga 0.0000 0.0000 0.5000 1
Rh1 Rh 0.0000 0.0000 0.0000 1
```

Values from the calculation:
N(E_F)   6.044 states/eV per cell
ΔH_f (0 K)   -245 meV/atom

***

Entry 10:
Computed, not measured: Li2GaRh2 after structural relaxation at the PBE level of DFT.

Structure (CIF):
```
data_Li2GaRh2
_symmetry_space_group_name_H-M 'P 4/m b m'
_symmetry_Int_Tables_number 127
_symmetry_space_group_name_Hall '-P 4 2ab'
_cell_length_a 6.3464
_cell_length_b 6.3464
_cell_length_c 3.0825
_cell_angle_alpha 90.00
_cell_angle_beta 90.00
_cell_angle_gamma 90.00
loop_
_atom_site_label
_atom_site_type_symbol
_atom_site_fract_x
_atom_site_fract_y
_atom_site_fract_z
_atom_site_occupancy
Li1 Li 0.1143 0.3857 0.0000 1
Ga1 Ga 0.0000 0.0000 0.0000 1
Rh1 Rh 0.1901 0.6901 0.5000 1
```

Values from the calculation:
N(E_F)   3.942 states/eV per cell
ΔH_f (0 K)   -246 meV/atom

***

Entry 11:
Computed, not measured: Li2Ga5Rh2 after structural relaxation at the PBE level of DFT.

Structure (CIF):
```
data_Li2Ga5Rh2
_symmetry_space_group_name_H-M 'I m m a'
_symmetry_Int_Tables_number 74
_symmetry_space_group_name_Hall '-I 2b 2'
_cell_length_a 8.2762
_cell_length_b 14.8197
_cell_length_c 5.3083
_cell_angle_alpha 90.00
_cell_angle_beta 90.00
_cell_angle_gamma 90.00
loop_
_atom_site_label
_atom_site_type_symbol
_atom_site_fract_x
_atom_site_fract_y
_atom_site_fract_z
_atom_site_occupancy
Li1 Li 0.0000 0.0000 0.0000 1
Li2 Li 0.0000 0.2500 0.0409 1
Ga1 Ga 0.0000 0.2500 0.5328 1
Ga2 Ga 0.2500 0.0835 0.2500 1
Ga3 Ga 0.2500 0.1292 0.7500 1
Rh1 Rh 0.0000 0.0925 0.5020 1
```

Values from the calculation:
N(E_F)   12.372 states/eV per cell
ΔH_f (0 K)   -298 meV/atom